[1]
Cs4Te2H2S: relaxed, GGA-PBE.

Unit cell a=8.958 b=6.710 c=6.710 alpha=89.94 beta=69.26 gamma=69.26
Positions (direct):
Cs1 0.247 0.635 0.135
Cs2 0.753 0.365 0.865
Cs3 0.247 0.135 0.635
S1 0.500 0.000 0.000
Te1 0.016 0.242 0.242
Te2 0.984 0.758 0.758
H1 0.272 0.115 0.115
H2 0.728 0.885 0.885
Cs4 0.753 0.865 0.365

## Properties
energy: -0.2161 Ry per atom
magnetization: 0.0 μB per formula unit
crystal system: monoclinic
V: 349.2 Å³/cell


[2]
CsThHS3: relaxed, GGA-PBE.

Unit cell a=4.315 b=8.348 c=9.814 alpha=90.00 beta=90.00 gamma=104.98
Positions (direct):
S1 0.606 0.211 0.081
S2 0.394 0.789 0.581
Th1 0.000 0.000 0.500
S3 0.394 0.789 0.919
Th2 0.000 0.000 0.000
S4 0.071 0.141 0.750
S5 0.606 0.211 0.419
Cs1 0.736 0.473 0.750
H1 0.598 0.196 0.250
S6 0.929 0.859 0.250
H2 0.402 0.804 0.750
Cs2 0.264 0.527 0.250

## Properties
energy: -0.3928 Ry per atom
magnetization: 0.0 μB per formula unit
crystal system: orthorhombic
V: 341.5 Å³/cell